No. 1
The following is a DFT calculation (PBE) of crystalline La4NiIrCl2 at its relaxed geometry.

The structure in POSCAR format:
```
La4NiIrCl2
1.0
-1.6339 2.3823 2.9832
-5.9271 -4.0968 0.0255
5.1366 -3.1127 5.2989
La Ni Ir Cl
4 1 1 2
Direct
0.5000 0.2329 0.2014
0.5000 0.7671 0.7986
0.0000 0.2652 0.7951
0.0000 0.7348 0.2049
0.0000 0.0000 0.0000
0.5000 0.5000 0.0000
0.5000 0.0000 0.5000
0.0000 0.5000 0.5000
```

Values from the calculation:
Raw formation energy: -1164 meV per atom
Total moment: 0.00 μB/cell
Energy: -5.919 eV/atom

=====

No. 2
The following is a DFT calculation (PBE) of crystalline La6Ir2Cl3O at its relaxed geometry.

The structure in POSCAR format:
```
La6Ir2Cl3O
1.0
-2.5214 6.4720 0.4861
-3.8525 -5.4115 2.0868
5.0476 0.2586 6.1168
La Ir Cl O
6 2 3 1
Direct
0.9324 0.6187 0.7959
0.7554 0.7554 0.2056
0.0676 0.3813 0.2041
0.6187 0.9324 0.7959
0.2446 0.2446 0.7944
0.3813 0.0676 0.2041
0.3342 0.6658 0.0000
0.6658 0.3342 0.0000
0.1781 0.8219 0.5000
0.8219 0.1781 0.5000
0.5000 0.5000 0.5000
0.0000 0.0000 0.0000
```

Values from the calculation:
Raw formation energy: -1572 meV per atom
Total moment: 0.84 μB/cell
Energy: -6.388 eV/atom

=====

No. 3
The following is a DFT calculation (PBE) of crystalline La8Ir3Cl4O at its relaxed geometry.

The structure in POSCAR format:
```
La8Ir3Cl4O
1.0
8.1269 0.0000 0.0000
0.0000 8.9251 0.5167
-4.0634 -4.0735 5.7839
La Ir Cl O
8 3 4 1
Direct
0.2256 0.7023 0.9781
0.2286 0.7047 0.4572
0.2635 0.2917 0.5271
0.7525 0.7023 0.9781
0.2475 0.2977 0.0219
0.7365 0.7083 0.4729
0.7714 0.2953 0.5428
0.7744 0.2977 0.0219
0.5000 0.5000 0.0000
0.5000 0.5000 0.5000
0.0000 0.5000 0.5000
0.5000 0.0000 0.0000
0.5000 0.0000 0.5000
0.0000 0.0000 0.0000
0.0000 0.0000 0.5000
0.0000 0.5000 0.0000
```

Values from the calculation:
Raw formation energy: -1488 meV per atom
Total moment: 0.70 μB/cell
Energy: -6.385 eV/atom